# PBE Ho2HgO4, optimized geometry
data_Ho2HgO4
_chemical_formula_sum 'Ho8 Hg4 O16'
_cell_length_a 13.655
_cell_length_b 3.615
_cell_length_c 10.118
_cell_angle_alpha 90.00
_cell_angle_beta 122.62
_cell_angle_gamma 90.00
_symmetry_space_group_name_H-M 'C 1 2/m 1'
_symmetry_Int_Tables_number 12
loop_
_symmetry_equiv_pos_as_xyz
'x,y,z'
'-x,-y,-z'
'-x,y,-z'
'x,-y,z'
'x+1/2,y+1/2,z'
'-x+1/2,-y+1/2,-z'
'-x+1/2,y+1/2,-z'
'x+1/2,-y+1/2,z'
loop_
_atom_site_label
_atom_site_fract_x
_atom_site_fract_y
_atom_site_fract_z
Ho1 0.119 0.000 0.463
Ho2 0.159 0.500 0.800
Hg1 0.114 0.500 0.162
O1 0.035 0.500 0.283
O2 0.082 0.000 0.653
O3 0.203 0.500 0.054
O4 0.232 0.500 0.612
# E_form (uncorrected)	-2.6613	eV per atom
# total energy	-191.68	eV for the cell shown

---

# PBE Ho7Hg4O, optimized geometry
data_Ho7Hg4O
_chemical_formula_sum 'Ho14 Hg8 O2'
_cell_length_a 16.097
_cell_length_b 4.859
_cell_length_c 10.818
_cell_angle_alpha 90.00
_cell_angle_beta 129.27
_cell_angle_gamma 90.00
_symmetry_space_group_name_H-M 'C 1 2/m 1'
_symmetry_Int_Tables_number 12
loop_
_symmetry_equiv_pos_as_xyz
'x,y,z'
'-x,-y,-z'
'-x,y,-z'
'x,-y,z'
'x+1/2,y+1/2,z'
'-x+1/2,-y+1/2,-z'
'-x+1/2,y+1/2,-z'
'x+1/2,-y+1/2,z'
loop_
_atom_site_label
_atom_site_fract_x
_atom_site_fract_y
_atom_site_fract_z
Ho1 0.000 0.000 0.000
Ho2 0.053 0.500 0.244
Ho3 0.127 0.000 0.547
Ho4 0.218 0.500 0.850
Hg1 0.086 0.000 0.796
Hg2 0.228 0.000 0.374
O1 0.000 0.500 0.000
# E_form (uncorrected)	-0.6228	eV per atom
# total energy	-91.37	eV for the cell shown

---

# PBE HoHgO, optimized geometry
data_HoHgO
_chemical_formula_sum 'Ho1 Hg1 O1'
_cell_length_a 3.7274
_cell_length_b 3.7274
_cell_length_c 5.4569
_cell_angle_alpha 90.00
_cell_angle_beta 90.00
_cell_angle_gamma 120.00
_symmetry_space_group_name_H-M 'P 3 m 1'
_symmetry_Int_Tables_number 156
loop_
_symmetry_equiv_pos_as_xyz
'x,y,z'
'-y,x-y,z'
'-x+y,-x,z'
'-y,-x,z'
'-x+y,y,z'
'x,x-y,z'
loop_
_atom_site_label
_atom_site_fract_x
_atom_site_fract_y
_atom_site_fract_z
Ho1 0.0000 0.0000 0.0000
Hg1 0.3333 0.6667 0.5318
O1 0.6667 0.3333 0.0386
# E_form (uncorrected)	-1.8525	eV per atom
# total energy	-15.40	eV for the cell shown

---

# PBE Ho2HgO2, optimized geometry
data_Ho2HgO2
_chemical_formula_sum 'Ho4 Hg2 O4'
_cell_length_a 3.969
_cell_length_b 3.969
_cell_length_c 11.830
_cell_angle_alpha 90.00
_cell_angle_beta 90.00
_cell_angle_gamma 90.00
_symmetry_space_group_name_H-M 'I 4/m m m'
_symmetry_Int_Tables_number 139
_symmetry_space_group_name_Hall '-I 4 2'
loop_
_atom_site_label
_atom_site_fract_x
_atom_site_fract_y
_atom_site_fract_z
Ho1 0.000 0.000 0.161
Hg1 0.000 0.000 0.500
O1 0.000 0.500 0.250
# E_form (uncorrected)	-2.5368	eV per atom
# total energy	-64.12	eV for the cell shown

---

# PBE Ho3HgO6, optimized geometry
data_Ho3HgO6
_chemical_formula_sum 'Ho12 Hg4 O24'
_cell_length_a 8.967
_cell_length_b 11.171
_cell_length_c 5.646
_cell_angle_alpha 90.00
_cell_angle_beta 90.00
_cell_angle_gamma 90.00
_symmetry_space_group_name_H-M 'C m c 21'
_symmetry_Int_Tables_number 36
loop_
_symmetry_equiv_pos_as_xyz
'x,y,z'
'-x,-y,z+1/2'
'-x,y,z'
'x,-y,z+1/2'
'x+1/2,y+1/2,z'
'-x+1/2,-y+1/2,z+1/2'
'-x+1/2,y+1/2,z'
'x+1/2,-y+1/2,z+1/2'
loop_
_atom_site_label
_atom_site_fract_x
_atom_site_fract_y
_atom_site_fract_z
Ho1 0.000 0.100 0.000
Ho2 0.205 0.385 0.055
Hg1 0.000 0.342 0.561
O1 0.000 0.281 0.206
O2 0.000 0.475 0.854
O3 0.160 0.019 0.277
O4 0.165 0.234 0.794
# E_form (uncorrected)	-2.6676	eV per atom
# total energy	-281.84	eV for the cell shown

---

# PBE HoHgOsO6, optimized geometry
data_HoHgOsO6
_chemical_formula_sum 'Ho2 Hg2 Os2 O12'
_cell_length_a 5.555
_cell_length_b 9.628
_cell_length_c 4.800
_cell_angle_alpha 90.00
_cell_angle_beta 90.08
_cell_angle_gamma 90.00
_symmetry_space_group_name_H-M 'C 1 2 1'
_symmetry_Int_Tables_number 5
loop_
_symmetry_equiv_pos_as_xyz
'x,y,z'
'-x,y,-z'
'x+1/2,y+1/2,z'
'-x+1/2,y+1/2,-z'
loop_
_atom_site_label
_atom_site_fract_x
_atom_site_fract_y
_atom_site_fract_z
Ho1 0.000 0.000 0.000
Hg1 0.000 0.333 0.500
Os1 0.000 0.667 0.000
O1 0.128 0.812 0.226
O2 0.154 0.530 0.226
O3 0.219 0.158 0.226
# E_form (uncorrected)	-1.4431	eV per atom
# total energy	-117.69	eV for the cell shown

---

Q: Which formula does entry 6 have?
A: HoHgOsO6